Model i:
HfCrSn2: relaxed, PBE.

a b c (Å): 10.588 10.588 10.588
angles (deg): 157.62 157.62 31.86
Sites, in units of the cell vectors:
Hf  0.000  0.000  0.000
Hf  0.750  0.250  0.500
Cr  0.250  0.750  0.500
Cr  0.500  0.500  0.000
Sn  0.132  0.625  0.007
Sn  0.375  0.382  0.507
Sn  0.618  0.125  0.993
Sn  0.875  0.868  0.493

Values from the calculation:
For the density of states at the Fermi level, the calculation gives 1.307 states/eV/atom. The space group is I-42d.

---

Model ii:
HfCrSn2: relaxed, PBE.

a b c (Å): 4.785 4.785 4.785
angles (deg): 60.00 60.00 60.00
Sites, in units of the cell vectors:
Hf  0.000  0.000  0.000
Cr  0.500  0.500  0.500
Sn  0.250  0.250  0.250
Sn  0.750  0.750  0.750

Values from the calculation:
For the density of states at the Fermi level, the calculation gives 0.619 states/eV/atom. The space group is Fm-3m.

---

It turns out model ii is the most stable, with the second structure 0.235 eV/atom higher.